The following is a PBE calculation of crystalline LaGdMo at its relaxed geometry, from OQMD.

**Total energy**: -5.650 eV per atom
**Crystal system**: cubic

a = 4.914 Å, b = 4.914 Å, c = 4.914 Å
α = 60.00°, β = 60.00°, γ = 60.00°
Each line ends with the local moment (μB).
Sites, in units of the cell vectors:
Gd: 0.000 0.000 0.000  -0.09
La: 0.250 0.250 0.250  -0.07
Mo: 0.750 0.750 0.750  0.42



The following is a PBE calculation of crystalline PuCu4Se4 at its relaxed geometry, from OQMD.

**Total energy**: -5.111 eV per atom
**Crystal system**: tetragonal

a = 7.193 Å, b = 7.193 Å, c = 7.193 Å
α = 132.13°, β = 132.13°, γ = 70.02°
Each line ends with the local moment (μB).
Sites, in units of the cell vectors:
Cu: 0.251 0.251 0.000  -0.10
Cu: 0.749 0.749 0.000  -0.10
Cu: 0.500 0.000 0.500  -0.08
Cu: 0.000 0.500 0.500  -0.07
Pu: 0.000 0.000 0.000  4.76
Se: 0.869 0.391 0.000  -0.11
Se: 0.391 0.869 0.000  -0.11
Se: 0.609 0.609 0.477  -0.11
Se: 0.131 0.131 0.523  -0.11



The following is a PBE calculation of crystalline BaLuSn at its relaxed geometry, from OQMD.

**Total energy**: -3.127 eV per atom
**Crystal system**: cubic

a = 5.519 Å, b = 5.519 Å, c = 5.519 Å
α = 60.00°, β = 60.00°, γ = 60.00°
Sites, in units of the cell vectors:
Ba: 0.000 0.000 0.000
Lu: 0.250 0.250 0.250
Sn: 0.750 0.750 0.750